1.
A plane-wave DFT calculation with PBE-GGA was carried out for crystalline La6Si3Ni2 at its relaxed geometry.

Properties
Symmetry: Pm, No. 6
Uncorrected formation energy in eV per atom: -0.4979
DOS at the Fermi energy in states/eV per cell: 21.97

Cell lengths 4.5837, 11.8567, 11.9401 Å; angles 119.39, 90.00, 90.00 degrees
With the nearest neighbours (Å) after each atom.
Sites, in units of the cell vectors:
Si: 0.5000 0.4410 0.2863  1 Si 2.45
Si: 0.5000 0.8406 0.5569  1 Si 2.44
La: 0.5000 0.1287 0.6086  5 Si 3.14-3.22, 2 Ni 3.38
Si: 0.0000 0.3319 0.6734  2 Ni 2.41, 1 Si 2.51
La: 0.0000 0.9945 0.7637  3 Ni 2.94-3.03, 2 Si 3.20
La: 0.5000 0.4712 0.8678  3 Si 3.10-3.27, 4 Ni 3.14-3.23
La: 0.5000 0.0164 0.2328  2 Ni 3.00, 3 Si 3.19
Si: 0.0000 0.1644 0.4397  1 Si 2.51
La: 0.0000 0.7699 0.0066  3 Ni 2.98-3.02, 2 Si 3.16
Ni: 0.2518 0.9975 0.9921  2 Ni 2.28-2.31
Si: 0.5000 0.6669 0.3342  3 Si 2.44-2.45
La: 0.0000 0.5175 0.1391  6 Si 3.13-3.28, 1 Ni 3.25
Ni: 0.0000 0.5579 0.7346  1 Si 2.41
Ni: 0.7482 0.9975 0.9921  2 Ni 2.28-2.31
La: 0.0000 0.8617 0.3731  7 Si 3.12-3.27
La: 0.0000 0.2377 0.2183  2 Ni 3.03, 3 Si 3.13-3.16
La: 0.0000 0.6211 0.4868  6 Si 3.14-3.25, 1 Ni 3.39
Ni: 0.0000 0.2800 0.8444  1 Si 2.41
La: 0.5000 0.7590 0.7743  4 Ni 2.97-3.17, 1 Si 3.18
La: 0.5000 0.2326 0.9859  4 Ni 3.05-3.06, 1 Si 3.20
Si: 0.5000 0.7186 0.1589  1 Si 2.45
La: 0.5000 0.3934 0.5304  5 Si 3.15-3.30, 2 Ni 3.21

=====

2.
A plane-wave DFT calculation with PBE-GGA was carried out for crystalline Dy3Er2In at its relaxed geometry.

Properties
Symmetry: Cmmm, No. 65
Excess energy over the best structure of this formula in the dataset in meV/atom: 0
E_form in meV per atom: -163
DOS at the Fermi energy in states/eV per cell: 6.46

Cell lengths 4.8353, 4.8601, 7.8698 Å; angles 107.99, 90.00, 90.00 degrees
With the nearest neighbours (Å) after each atom.
Sites, in units of the cell vectors:
Er: 0.0000 0.6625 0.3250  8 Dy 3.43-3.50, 2 In 3.44, 2 Er 3.57
Er: 0.0000 0.3375 0.6750  8 Dy 3.43-3.50, 2 In 3.44, 2 Er 3.57
Dy: 0.5000 0.8315 0.6630  6 Er 3.43-3.50, 4 Dy 3.44-3.50, 2 In 3.49
Dy: 0.5000 0.5000 0.0000  4 In 3.43, 4 Er 3.43, 4 Dy 3.50
Dy: 0.5000 0.1685 0.3370  6 Er 3.43-3.50, 4 Dy 3.44-3.50, 2 In 3.49
In: 0.0000 0.0000 0.0000  8 Dy 3.43-3.49, 4 Er 3.44

=====

3.
A plane-wave DFT calculation with PBE-GGA was carried out for crystalline TbZnGa3Ni at its relaxed geometry.

Properties
Symmetry: Cmcm, No. 63
E_form in meV per atom: -155
DOS at the Fermi energy in states/eV per cell: 4.73

Cell lengths 5.7085, 6.6676, 6.8244 Å; angles 119.24, 90.00, 90.00 degrees
With the nearest neighbours (Å) after each atom.
Sites, in units of the cell vectors:
Ga: 0.0000 0.6967 0.0000  2 Ni 2.51, 2 Zn 2.58, 1 Ga 2.62
Ga: 0.7500 0.8371 0.6742  1 Ni 2.41, 1 Zn 2.66
Tb: 0.2500 0.7040 0.4080  1 Zn 2.80, 2 Ni 2.97, 4 Ga 3.11
Ga: 0.5000 0.6967 0.0000  2 Ni 2.51, 2 Zn 2.58, 1 Ga 2.62
Ni: 0.7500 0.6345 0.2690  5 Ga 2.41-2.51
Ga: 0.0000 0.3033 0.0000  2 Ni 2.51, 2 Zn 2.58, 1 Ga 2.62
Zn: 0.2500 0.9394 0.8789  5 Ga 2.58-2.66, 1 Tb 2.80
Zn: 0.7500 0.0606 0.1211  5 Ga 2.58-2.66, 1 Tb 2.80
Ga: 0.5000 0.3033 0.0000  2 Ni 2.51, 2 Zn 2.58, 1 Ga 2.62
Tb: 0.7500 0.2960 0.5920  1 Zn 2.80, 2 Ni 2.97, 4 Ga 3.11
Ga: 0.2500 0.1629 0.3258  1 Ni 2.41, 1 Zn 2.66
Ni: 0.2500 0.3655 0.7310  5 Ga 2.41-2.51

=====

4.
A plane-wave DFT calculation with PBE-GGA was carried out for crystalline YTa3Re at its relaxed geometry.

Properties
Symmetry: Pm-3m, No. 221
Excess energy over the best structure of this formula in the dataset in meV/atom: 1930
E_form in meV per atom: 2798
DOS at the Fermi energy in states/eV per cell: 6.02

Cell lengths 4.7732, 4.7732, 4.7732 Å; angles 90.00, 90.00, 90.00 degrees
With the nearest neighbours (Å) after each atom.
Sites, in units of the cell vectors:
Ta: 0.0000 0.0000 0.5000  2 Y 2.39
Ta: 0.5000 0.0000 0.0000  2 Y 2.39
Ta: 0.0000 0.5000 0.0000  2 Y 2.39
Y: 0.0000 0.0000 0.0000  6 Ta 2.39
Re: 0.5000 0.5000 0.5000  12 Ta 3.38

=====

5.
A plane-wave DFT calculation with PBE-GGA was carried out for crystalline GdErTmHg at its relaxed geometry.

Properties
Symmetry: F-43m, No. 216
E_form in meV per atom: -65
DOS at the Fermi energy in states/eV per cell: 5.09

Cell lengths 5.3828, 5.3828, 5.3828 Å; angles 60.00, 60.00, 60.00 degrees
With the nearest neighbours (Å) after each atom.
Sites, in units of the cell vectors:
Gd: 0.5000 0.5000 0.5000  4 Tm 3.30, 4 Hg 3.30
Tm: 0.7500 0.7500 0.7500  4 Gd 3.30, 4 Er 3.30
Hg: 0.2500 0.2500 0.2500  4 Gd 3.30, 4 Er 3.30
Er: 0.0000 0.0000 0.0000  4 Tm 3.30, 4 Hg 3.30

=====

6.
A plane-wave DFT calculation with PBE-GGA was carried out for crystalline SbOs at its relaxed geometry.

Properties
Symmetry: Pmmn, No. 59
Uncorrected formation energy in eV per atom: 0.7790
DOS at the Fermi energy in states/eV per cell: 7.37

Cell lengths 3.2122, 6.2068, 13.9837 Å; angles 90.00, 90.00, 90.00 degrees
With the nearest neighbours (Å) after each atom.
Sites, in units of the cell vectors:
Os: 0.5000 0.0297 0.3229  4 Sb 2.60-2.86, 2 Os 2.62
Sb: 0.0000 0.8436 0.0000  4 Os 2.60
Sb: 0.0000 0.6969 0.3419  4 Os 2.57-2.86
Os: 0.5000 0.5143 0.0000  4 Sb 2.57-2.60
Os: 0.0000 0.9703 0.1771  4 Sb 2.60-2.86, 2 Os 2.62
Sb: 0.5000 0.3031 0.1581  4 Os 2.57-2.86
Os: 0.5000 0.0297 0.6771  4 Sb 2.60-2.86, 2 Os 2.62
Sb: 0.5000 0.1564 0.5000  4 Os 2.60
Sb: 0.0000 0.6969 0.6581  4 Os 2.57-2.86
Os: 0.0000 0.9703 0.8229  4 Sb 2.60-2.86, 2 Os 2.62
Sb: 0.5000 0.3031 0.8419  4 Os 2.57-2.86
Os: 0.0000 0.4857 0.5000  4 Sb 2.57-2.60

=====

7.
A plane-wave DFT calculation with PBE-GGA was carried out for crystalline PmPr2ScTe4 at its relaxed geometry.

Properties
Symmetry: P2/m, No. 10
Uncorrected formation energy in eV per atom: -1.3293
DOS at the Fermi energy in states/eV per cell: 5.23

Cell lengths 4.3736, 7.6627, 7.7590 Å; angles 108.81, 90.00, 90.00 degrees
With the nearest neighbours (Å) after each atom.
Sites, in units of the cell vectors:
Te: 0.0000 0.7567 0.2368  1 Sc 3.01, 2 Pm 3.11, 3 Pr 3.16-3.26
Pr: 0.0000 0.5000 0.5000  6 Te 3.26
Te: 0.5000 0.2319 0.2288  2 Sc 3.01, 1 Pm 3.12, 3 Pr 3.16-3.26
Pr: 0.5000 0.0000 0.5000  6 Te 3.16
Te: 0.0000 0.2433 0.7632  1 Sc 3.01, 2 Pm 3.11, 3 Pr 3.16-3.26
Sc: 0.0000 0.0000 0.0000  6 Te 3.01
Te: 0.5000 0.7681 0.7712  2 Sc 3.01, 1 Pm 3.12, 3 Pr 3.16-3.26
Pm: 0.5000 0.5000 0.0000  6 Te 3.11-3.12

=====

8.
A plane-wave DFT calculation with PBE-GGA was carried out for crystalline HfPS2Br at its relaxed geometry.

Properties
Symmetry: P4/mmm, No. 123
Excess energy over the best structure of this formula in the dataset in meV/atom: 1075
Uncorrected formation energy in eV per atom: 0.9812
DOS at the Fermi energy in states/eV per cell: 4.72

Cell lengths 4.7133, 4.7133, 4.7568 Å; angles 90.00, 90.00, 90.00 degrees
With the nearest neighbours (Å) after each atom.
Sites, in units of the cell vectors:
S: 0.0000 0.5000 0.0000  2 Br 2.36
Br: 0.0000 0.0000 0.0000  4 S 2.36, 2 P 2.38
Hf: 0.5000 0.5000 0.5000  4 P 3.33, 8 S 3.35
S: 0.5000 0.0000 0.0000  2 Br 2.36
P: 0.0000 0.0000 0.5000  2 Br 2.38

=====

9.
A plane-wave DFT calculation with PBE-GGA was carried out for crystalline ScPt3O at its relaxed geometry.

Properties
Symmetry: Pm-3m, No. 221
Excess energy over the best structure of this formula in the dataset in meV/atom: 1550
Uncorrected formation energy in eV per atom: 1.3592
DOS at the Fermi energy in states/eV per cell: 9.49

Cell lengths 4.8156, 4.8156, 4.8156 Å; angles 90.00, 90.00, 90.00 degrees
With the nearest neighbours (Å) after each atom.
Sites, in units of the cell vectors:
Pt: 0.0000 0.0000 0.5000  2 Sc 2.41
O: 0.5000 0.5000 0.5000  12 Pt 3.41
Pt: 0.0000 0.5000 0.0000  2 Sc 2.41
Sc: 0.0000 0.0000 0.0000  6 Pt 2.41
Pt: 0.5000 0.0000 0.0000  2 Sc 2.41

=====

10.
A plane-wave DFT calculation with PBE-GGA was carried out for crystalline TbErBi at its relaxed geometry.

Properties
Symmetry: I4mm, No. 107
E_form in meV per atom: -454
DOS at the Fermi energy in states/eV per cell: 2.40

Cell lengths 4.0371, 4.0371, 6.0941 Å; angles 109.34, 109.34, 90.00 degrees
With the nearest neighbours (Å) after each atom.
Sites, in units of the cell vectors:
Tb: 0.9583 0.9583 0.9166  5 Bi 3.33-3.66, 5 Er 3.39-3.48
Er: 0.2733 0.2733 0.5466  4 Bi 3.31, 5 Tb 3.39-3.48
Bi: 0.6184 0.6184 0.2368  4 Er 3.31, 5 Tb 3.33-3.66

=====

11.
A plane-wave DFT calculation with PBE-GGA was carried out for crystalline Fe3Ni2Ir6 at its relaxed geometry.

Properties
Symmetry: I4/mmm, No. 139
E_form in meV per atom: 397
DOS at the Fermi energy in states/eV per cell: 16.24

Cell lengths 3.7303, 3.7301, 11.7974 Å; angles 99.10, 99.10, 90.00 degrees
With the nearest neighbours (Å) after each atom.
Sites, in units of the cell vectors:
Ir: 0.6189 0.1189 0.2377  2 Ni 2.50, 2 Fe 2.55, 6 Ir 2.64-2.66
Fe: 0.8052 0.8052 0.6105  9 Ir 2.38-2.64
Ir: 0.2984 0.2984 0.5969  5 Fe 2.38-2.64, 4 Ir 2.66
Ir: 0.8811 0.3811 0.7623  2 Ni 2.50, 2 Fe 2.55, 6 Ir 2.64-2.66
Ir: 0.1189 0.6189 0.2377  2 Ni 2.50, 2 Fe 2.55, 6 Ir 2.64-2.66
Ir: 0.7016 0.7016 0.4031  5 Fe 2.38-2.64, 4 Ir 2.66
Ni: 0.4534 0.4534 0.9068  1 Ni 2.14
Fe: 0.1948 0.1948 0.3895  9 Ir 2.38-2.64
Ir: 0.3811 0.8811 0.7623  2 Ni 2.50, 2 Fe 2.55, 6 Ir 2.64-2.66
Ni: 0.5466 0.5466 0.0932  1 Ni 2.14
Fe: 0.0000 0.0000 0.0000  8 Ni 2.85

=====

12.
A plane-wave DFT calculation with PBE-GGA was carried out for crystalline TbInGe2 at its relaxed geometry.

Properties
Symmetry: P4/mmm, No. 123
Excess energy over the best structure of this formula in the dataset in meV/atom: 156
E_form in meV per atom: -257
DOS at the Fermi energy in states/eV per cell: 2.97

Cell lengths 3.7817, 3.7817, 6.2937 Å; angles 90.00, 90.00, 90.00 degrees
With the nearest neighbours (Å) after each atom.
Sites, in units of the cell vectors:
Ge: 0.0000 0.0000 0.2283  1 Ge 2.87, 4 In 3.04, 4 Tb 3.17
Tb: 0.5000 0.5000 0.5000  2 In 3.15, 8 Ge 3.17
In: 0.5000 0.5000 0.0000  8 Ge 3.04, 2 Tb 3.15
Ge: 0.0000 0.0000 0.7717  1 Ge 2.87, 4 In 3.04, 4 Tb 3.17